1.
# SrCdH3 GGA-PBEsol relaxed
data_SrCdH3
_chemical_formula_sum 'Sr1 Cd1 H3'
_cell_length_a 4.066
_cell_length_b 4.066
_cell_length_c 4.066
_cell_angle_alpha 90.00
_cell_angle_beta 90.00
_cell_angle_gamma 90.00
_space_group_name_H-M_alt 'P 1'
_space_group_IT_number 1
_space_group_name_Hall 'P 1'
loop_
_atom_site_label
_atom_site_type_symbol
_atom_site_fract_x
_atom_site_fract_y
_atom_site_fract_z
Sr1 Sr 0.000 0.000 0.000
Cd1 Cd 0.500 0.500 0.500
H1 H 0.000 0.500 0.500
H2 H 0.500 0.000 0.500
H3 H 0.500 0.500 0.000
# Total DFT energy (no corrections) (eV/atom): -2.665
# Crystal system: cubic

2.
# Cs3Mo5P6O25 GGA-PBEsol relaxed
data_Cs3Mo5P6O25
_chemical_formula_sum 'Cs6 Mo10 P12 O50'
_cell_length_a 11.842
_cell_length_b 11.842
_cell_length_c 9.332
_cell_angle_alpha 90.00
_cell_angle_beta 90.00
_cell_angle_gamma 120.00
_space_group_name_H-M_alt 'P 1'
_space_group_IT_number 1
_space_group_name_Hall 'P 1'
loop_
_atom_site_label
_atom_site_type_symbol
_atom_site_fract_x
_atom_site_fract_y
_atom_site_fract_z
Cs1 Cs 0.103 0.417 0.000
Cs2 Cs 0.314 0.897 0.000
Cs3 Cs 0.417 0.103 0.500
Cs4 Cs 0.583 0.686 0.000
Cs5 Cs 0.686 0.583 0.500
Cs6 Cs 0.897 0.314 0.500
Mo1 Mo 0.000 0.000 0.058
Mo2 Mo 0.000 0.000 0.558
Mo3 Mo 0.206 0.671 0.423
Mo4 Mo 0.329 0.535 0.423
Mo5 Mo 0.333 0.667 0.636
Mo6 Mo 0.465 0.794 0.423
Mo7 Mo 0.535 0.329 0.923
Mo8 Mo 0.667 0.333 0.136
Mo9 Mo 0.671 0.206 0.923
Mo10 Mo 0.794 0.465 0.923
P1 P 0.062 0.639 0.725
P2 P 0.086 0.848 0.305
P3 P 0.152 0.238 0.305
P4 P 0.238 0.152 0.805
P5 P 0.361 0.422 0.725
P6 P 0.422 0.361 0.225
P7 P 0.578 0.938 0.725
P8 P 0.639 0.062 0.225
P9 P 0.762 0.914 0.305
P10 P 0.848 0.086 0.805
P11 P 0.914 0.762 0.805
P12 P 0.938 0.578 0.225
O1 O 0.047 0.756 0.798
O2 O 0.048 0.556 0.282
O3 O 0.057 0.654 0.562
O4 O 0.073 0.167 0.172
O5 O 0.079 0.915 0.441
O6 O 0.085 0.164 0.441
O7 O 0.094 0.927 0.172
O8 O 0.164 0.085 0.941
O9 O 0.167 0.073 0.672
O10 O 0.177 0.513 0.536
O11 O 0.179 0.378 0.306
O12 O 0.196 0.668 0.778
O13 O 0.199 0.821 0.306
O14 O 0.244 0.291 0.798
O15 O 0.291 0.244 0.298
O16 O 0.332 0.528 0.778
O17 O 0.333 0.667 0.279
O18 O 0.336 0.823 0.536
O19 O 0.346 0.403 0.562
O20 O 0.378 0.179 0.806
O21 O 0.403 0.346 0.062
O22 O 0.444 0.491 0.282
O23 O 0.472 0.804 0.778
O24 O 0.487 0.664 0.536
O25 O 0.491 0.444 0.782
O26 O 0.509 0.952 0.282
O27 O 0.513 0.177 0.036
O28 O 0.528 0.332 0.278
O29 O 0.556 0.048 0.782
O30 O 0.597 0.943 0.562
O31 O 0.622 0.801 0.306
O32 O 0.654 0.057 0.062
O33 O 0.664 0.487 0.036
O34 O 0.667 0.333 0.779
O35 O 0.668 0.196 0.278
O36 O 0.709 0.953 0.798
O37 O 0.756 0.047 0.298
O38 O 0.801 0.622 0.806
O39 O 0.804 0.472 0.278
O40 O 0.821 0.199 0.806
O41 O 0.823 0.336 0.036
O42 O 0.833 0.906 0.172
O43 O 0.836 0.921 0.441
O44 O 0.906 0.833 0.672
O45 O 0.915 0.079 0.941
O46 O 0.921 0.836 0.941
O47 O 0.927 0.094 0.672
O48 O 0.943 0.597 0.062
O49 O 0.952 0.509 0.782
O50 O 0.953 0.709 0.298
# Total DFT energy (no corrections) (eV/atom): -7.974
# Raw formation energy (meV per atom): -2137
# Crystal system: trigonal

3.
# Mg2CdMo GGA-PBEsol relaxed
data_Mg2CdMo
_chemical_formula_sum 'Mg2 Cd1 Mo1'
_cell_length_a 2.857
_cell_length_b 5.199
_cell_length_c 5.216
_cell_angle_alpha 100.21
_cell_angle_beta 90.09
_cell_angle_gamma 105.78
_space_group_name_H-M_alt 'P 1'
_space_group_IT_number 1
_space_group_name_Hall 'P 1'
loop_
_atom_site_label
_atom_site_type_symbol
_atom_site_fract_x
_atom_site_fract_y
_atom_site_fract_z
Mg1 Mg 0.000 0.000 0.000
Mg2 Mg 0.243 0.486 0.730
Cd1 Cd 0.496 0.992 0.470
Mo1 Mo 0.747 0.496 0.229
# Total DFT energy (no corrections) (eV/atom): -3.771
# Formation energy (eV/atom): 0.329
# Crystal system: triclinic